[1]
This record from Alexandria via LeMat-Bulk describes Nb4Se3S after structural relaxation. The functional is PBE-GGA.

Summary:
uncorrected formation energy = -0.71 eV/atom
crystal system = orthorhombic
VASP energy = -7.56 eV per atom

The structure in extended XYZ format:
```
16
Lattice="6.6804 0.0000 0.0000 0.0000 6.2887 0.0000 0.0000 0.0000 6.9497" Properties=species:S:1:pos:R:3 pbc="T T T"
Nb 4.4550 0.4236 3.4748
Nb 1.4127 3.6077 5.1878
Nb 1.4127 3.6077 1.7619
Nb 4.5233 0.5101 0.0000
Nb 1.1831 5.7786 3.4748
Nb 1.1148 5.8652 0.0000
Nb 4.7528 2.6810 1.7130
Nb 4.7528 2.6810 5.2367
Se 3.2415 4.3072 0.0000
Se 5.9708 5.1513 5.2022
Se 2.6306 1.1374 5.2223
Se 2.6306 1.1374 1.7274
Se 5.9708 5.1513 1.7475
Se 6.5817 1.9816 3.4748
S 3.1769 4.2402 3.4748
S 6.5171 2.0485 0.0000
```

=====

[2]
This record from Alexandria via LeMat-Bulk describes ScGeSb2Te after structural relaxation. The functional is PBE-GGA.

Summary:
uncorrected formation energy = 0.38 eV/atom
crystal system = tetragonal
polymorph energy (0 for the lowest one) = 0.35 eV/f.u.
VASP energy = -4.09 eV per atom

The structure in extended XYZ format:
```
5
Lattice="-4.9204 0.7049 1.8068 -0.7840 -5.2295 -0.0950 1.7962 -0.3607 5.0321" Properties=species:S:1:pos:R:3 pbc="T T T"
Sb -2.4602 0.3524 0.9034
Sb -0.3920 -2.6148 -0.0475
Sc -1.9541 -2.4427 3.3720
Ge 0.0000 0.0000 0.0000
Te 0.8981 -0.1803 2.5161
```

=====

[3]
This record from Alexandria via LeMat-Bulk describes ScTlCl2 after structural relaxation. The functional is PBE-GGA.

Summary:
uncorrected formation energy = -1.31 eV/atom
crystal system = trigonal
polymorph energy (0 for the lowest one) = 0.00 eV/f.u.
VASP energy = -4.41 eV per atom

The structure in extended XYZ format:
```
4
Lattice="-4.2242 -8.8335 4.0913 -2.4491 -7.6994 6.8800 -5.6545 -6.4679 6.2295" Properties=species:S:1:pos:R:3 pbc="T T T"
Cl -10.9077 -20.3513 15.2195
Cl -1.4200 -2.6494 1.9813
Sc -6.1639 -11.5004 8.6004
Tl 0.0000 0.0000 0.0000
```

=====

[4]
This record from Alexandria via LeMat-Bulk describes Pa2NiS5 after structural relaxation. The functional is PBE-GGA.

Summary:
uncorrected formation energy = -1.16 eV/atom
crystal system = orthorhombic
polymorph energy (0 for the lowest one) = 0.36 eV/f.u.
VASP energy = -6.83 eV per atom

The structure in extended XYZ format:
```
16
Lattice="5.3338 0.0000 0.0000 -2.6669 6.0736 0.0000 0.0000 0.0000 12.1146" Properties=species:S:1:pos:R:3 pbc="T T T"
Ni 2.6669 3.5867 9.0859
Ni 0.0000 2.4869 3.0286
Pa 0.0000 1.8306 6.8917
Pa 0.0000 1.8306 11.2801
Pa 2.6669 4.2430 0.8345
Pa 2.6669 4.2430 5.2228
S 0.0000 4.0074 5.1307
S 0.0000 0.6746 4.5459
S 2.6669 5.3989 7.5687
S 0.0000 0.6746 1.5114
S 0.0000 4.0074 0.9266
S 2.6669 2.0662 6.9839
S 2.6669 5.3989 10.6031
S 0.0000 3.3367 9.0859
S 2.6669 2.0662 11.1880
S 2.6669 2.7368 3.0286
```

=====

[5]
This record from Alexandria via LeMat-Bulk describes Zr3TlSe after structural relaxation. The functional is PBE-GGA.

Summary:
uncorrected formation energy = 1.09 eV/atom
crystal system = cubic
polymorph energy (0 for the lowest one) = 7.56 eV/f.u.
VASP energy = -5.21 eV per atom

The structure in extended XYZ format:
```
5
Lattice="5.3539 0.0000 0.0000 0.0000 5.3539 0.0000 0.0000 0.0000 5.3539" Properties=species:S:1:pos:R:3 pbc="T T T"
Zr 0.0000 2.6770 0.0000
Zr 0.0000 0.0000 2.6770
Zr 2.6770 0.0000 0.0000
Tl 0.0000 0.0000 0.0000
Se 2.6770 2.6770 2.6770
```

=====

[6]
This record from Alexandria via LeMat-Bulk describes Tm2TlHg2 after structural relaxation. The functional is PBE-GGA.

Summary:
crystal system = orthorhombic
polymorph energy (0 for the lowest one) = 0.21 eV/f.u.
VASP energy = -2.69 eV per atom
calculated formation energy = -303 meV per atom

The structure in extended XYZ format:
```
5
Lattice="-2.4703 -2.2793 0.6040 2.6762 -2.0365 3.2602 -4.3687 5.7445 3.8100" Properties=species:S:1:pos:R:3 pbc="T T T"
Tl 0.0000 0.0000 0.0000
Tm -3.5650 2.4938 4.4843
Tm -0.5977 -1.0651 3.1899
Hg -0.4970 1.8436 4.9242
Hg -1.1955 1.8644 2.1460
```

=====

[7]
This record from Alexandria via LeMat-Bulk describes K2OsRu after structural relaxation. The functional is PBE-GGA.

Summary:
crystal system = orthorhombic
polymorph energy (0 for the lowest one) = 0.00 eV/f.u.
VASP energy = -4.98 eV per atom
calculated formation energy = 698 meV per atom

The structure in extended XYZ format:
```
4
Lattice="2.8166 0.0000 0.0000 0.0000 3.9466 0.0000 0.0000 0.0000 10.1957" Properties=species:S:1:pos:R:3 pbc="T T T"
Os 0.0000 0.0000 5.9571
K 0.0000 0.0000 9.2912
K 1.4083 1.9733 3.4590
Ru 1.4083 1.9733 6.7821
```

=====

[8]
This record from Alexandria via LeMat-Bulk describes MnTl2Cd after structural relaxation. The functional is PBE-GGA.

Summary:
crystal system = tetragonal
polymorph energy (0 for the lowest one) = 0.77 eV/f.u.
VASP energy = -3.24 eV per atom
calculated formation energy = 460 meV per atom

The structure in extended XYZ format:
```
8
Lattice="4.6290 0.0000 0.0000 0.0000 4.6290 0.0000 2.3145 2.3145 9.6650" Properties=species:S:1:pos:R:3 pbc="T T T"
Mn 2.3145 4.6290 4.8325
Mn 2.3145 2.3145 0.0000
Tl 5.7862 5.7019 7.2488
Tl 1.2415 3.4717 2.4163
Tl 3.3874 1.1572 2.4163
Tl 3.4717 3.5560 7.2488
Cd 4.6290 2.3145 4.8325
Cd 0.0000 0.0000 0.0000
```

=====

[9]
This record from Alexandria via LeMat-Bulk describes AlCo4B after structural relaxation. The functional is PBE-GGA.

Summary:
crystal system = tetragonal
VASP energy = -6.40 eV per atom
calculated formation energy = 74 meV per atom

The structure in extended XYZ format:
```
6
Lattice="-3.1232 -1.4066 0.0972 0.6544 -1.6556 -2.9302 2.1973 -4.6627 3.1253" Properties=species:S:1:pos:R:3 pbc="T T T"
Co 0.6147 -5.5981 -0.7005
Co 0.9829 -2.2289 -0.5160
Co 1.8489 -4.0666 0.7157
Co -0.2516 -3.7596 -1.9327
B 1.7431 -3.9755 -1.3653
Al 0.9530 -6.1825 1.7111
```

=====

[10]
This record from Alexandria via LeMat-Bulk describes CsRhW2S8 after structural relaxation. The functional is PBE-GGA.

Summary:
uncorrected formation energy = -0.50 eV/atom
crystal system = trigonal
VASP energy = -6.10 eV per atom

The structure in extended XYZ format:
```
12
Lattice="6.2277 0.0000 0.0000 3.1138 5.3933 0.0000 3.1138 1.7978 9.6550" Properties=species:S:1:pos:R:3 pbc="T T T"
S 7.4112 1.7827 8.2305
S 9.3415 5.3933 5.4299
S 7.2059 5.5269 8.2305
S 3.1138 1.7978 4.2252
S 4.0659 3.4770 8.2305
S 5.2495 1.6642 1.4245
S 8.3894 3.7141 1.4245
S 5.0442 5.4084 1.4245
Cs 6.2277 3.5956 4.8275
W 9.3415 5.3933 7.6110
W 3.1138 1.7978 2.0440
Rh 0.0000 0.0000 0.0000
```

=====

[11]
This record from Alexandria via LeMat-Bulk describes K2Sr3US6 after structural relaxation. The functional is PBE-GGA.

Summary:
uncorrected formation energy = -1.73 eV/atom
crystal system = monoclinic
VASP energy = -5.34 eV per atom

The structure in extended XYZ format:
```
12
Lattice="-1.2323 -0.0928 7.4003 -5.8144 -0.4607 -4.7194 2.9175 -6.6035 -0.9026" Properties=species:S:1:pos:R:3 pbc="T T T"
S -2.5432 -5.3248 3.1878
S -0.2212 -1.7226 2.2006
S -4.8743 -2.0134 1.9039
S 0.7451 -5.1436 -0.1256
S -1.5860 -1.8322 -1.4094
S -3.9080 -5.4344 -0.4222
Sr -0.5549 -3.4573 4.8825
Sr -2.0646 -3.5785 0.8892
Sr -3.5743 -3.6997 -3.1041
K -4.2843 -0.3379 -0.6722
K -2.7624 -0.2157 3.3532
U 0.0000 0.0000 0.0000
```

=====

[12]
This record from Alexandria via LeMat-Bulk describes Cd8InHg2 after structural relaxation. The functional is PBE-GGA.

Summary:
crystal system = triclinic
polymorph energy (0 for the lowest one) = 0.00 eV/f.u.
VASP energy = -0.96 eV per atom
calculated formation energy = 6 meV per atom

The structure in extended XYZ format:
```
11
Lattice="5.1240 -0.9165 0.3286 -2.0080 8.3119 2.7458 0.1915 2.2178 7.1760" Properties=species:S:1:pos:R:3 pbc="T T T"
Cd -0.2980 5.4354 7.0186
Cd 1.5023 7.5407 8.4428
Cd 4.0550 0.7216 2.9234
Cd 3.0305 2.5391 5.6674
Cd 1.7880 1.9446 1.3743
Cd -0.7653 8.7611 6.8927
Cd 0.2598 6.9446 4.1482
Cd 3.5876 4.0491 2.7987
In 5.3073 1.2374 7.2877
Hg 0.7324 3.7366 4.0623
Hg 2.5567 5.7466 5.7546
```